Density functional theory data (PBE) for crystalline ErB4Mo at its relaxed geometry.

```
data_ErB4Mo
_chemical_formula_sum 'Er4 B16 Mo4'
_space_group_name_H-M_alt 'P 1'
_space_group_IT_number 1
_cell_length_a 6.0149
_cell_length_b 11.6118
_cell_length_c 3.6070
_cell_angle_alpha 90.00
_cell_angle_beta 90.00
_cell_angle_gamma 90.00
loop_
_space_group_symop_operation_xyz
'x,y,z'
loop_
_atom_site_label
_atom_site_type_symbol
_atom_site_fract_x
_atom_site_fract_y
_atom_site_fract_z
_atom_site_occupancy
Er1 Er 0.1272 0.1496 0.0000 1
Er2 Er 0.3728 0.6496 0.0000 1
Er3 Er 0.6272 0.3504 0.0000 1
Er4 Er 0.8728 0.8504 0.0000 1
B1 B 0.0232 0.6941 0.5000 1
B2 B 0.1145 0.5479 0.5000 1
B3 B 0.1327 0.9682 0.5000 1
B4 B 0.2122 0.8135 0.5000 1
B5 B 0.2878 0.3135 0.5000 1
B6 B 0.3673 0.4682 0.5000 1
B7 B 0.3855 0.0479 0.5000 1
B8 B 0.4768 0.1941 0.5000 1
B9 B 0.5232 0.8059 0.5000 1
B10 B 0.6145 0.9521 0.5000 1
B11 B 0.6327 0.5318 0.5000 1
B12 B 0.7122 0.6865 0.5000 1
B13 B 0.7878 0.1865 0.5000 1
B14 B 0.8673 0.0318 0.5000 1
B15 B 0.8855 0.4521 0.5000 1
B16 B 0.9768 0.3059 0.5000 1
Mo1 Mo 0.1303 0.4162 0.0000 1
Mo2 Mo 0.3697 0.9162 0.0000 1
Mo3 Mo 0.6303 0.0838 0.0000 1
Mo4 Mo 0.8697 0.5838 0.0000 1
```

Results
Space group: Pbam
Formation energy from the elements in eV/atom: -0.64